No. 1
The following is a PBE calculation of crystalline SrLi2Y at its relaxed geometry, from Alexandria via LeMat-Bulk.

energy above the lowest structure with this stoichiometry = 0.2599 eV per atom
crystal system = tetragonal
E_form = 380.8 meV/atom

The structure in POSCAR format:
```
SrLi2Y
1.0
8.5300 0.0000 0.0000
0.0000 8.5300 0.0000
4.2650 4.2650 3.4984
Y Sr Li
2 2 4
Cartesian
0.0000 0.0000 0.0000
8.5300 4.2650 1.7492
4.2650 4.2650 0.0000
4.2650 8.5300 1.7492
6.5079 2.1325 0.8746
2.0220 6.3975 0.8746
6.3975 6.2870 2.6238
10.6624 10.7729 2.6238
```

***

No. 2
The following is a PBE calculation of crystalline SrLi2Y at its relaxed geometry, from Alexandria via LeMat-Bulk.

energy above the lowest structure with this stoichiometry = 0.1416 eV per atom
crystal system = tetragonal
E_form = 262.5 meV/atom

The structure in POSCAR format:
```
SrLi2Y
1.0
-4.1281 -4.1877 2.9878
2.0865 -3.4185 5.2408
-0.0093 6.2499 -2.1082
Li Sr Y
2 1 1
Cartesian
0.0000 0.0000 0.0000
0.5282 -0.4859 3.6234
-1.0208 -3.8031 4.1143
-2.5791 -0.8705 2.4970
```

***

No. 3
The following is a PBE calculation of crystalline SrLi2Y at its relaxed geometry, from Alexandria via LeMat-Bulk.

energy above the lowest structure with this stoichiometry = 0.1221 eV per atom
crystal system = monoclinic
E_form = 243.0 meV/atom

The structure in POSCAR format:
```
SrLi2Y
1.0
5.7610 -0.0043 -0.0215
4.6847 3.3530 -0.0215
0.7807 0.2503 6.8271
Li Sr Y
2 1 1
Cartesian
10.4185 3.3399 0.3085
5.6405 1.8082 3.0404
8.4198 2.6992 5.0880
2.8066 0.8997 1.6960
```

***

No. 4
The following is a PBE calculation of crystalline SrLi2Y at its relaxed geometry, from Alexandria via LeMat-Bulk.

energy above the lowest structure with this stoichiometry = 0.0000 eV per atom
crystal system = tetragonal
E_form = 120.9 meV/atom

The structure in POSCAR format:
```
SrLi2Y
1.0
-2.4988 -1.7200 -2.2925
2.0484 -3.1991 0.1674
-4.4884 -2.5191 6.7825
Li Sr Y
2 1 1
Cartesian
-0.1725 -0.0968 0.2606
-1.0529 -2.9240 0.1881
-2.1147 -1.1869 3.1955
-3.8431 -4.4900 4.4044
```

***

No. 5
The following is a PBE calculation of crystalline SrLi17Y at its relaxed geometry, from Alexandria via LeMat-Bulk.

crystal system = trigonal
E_form = 53.3 meV/atom

The structure in POSCAR format:
```
SrLi17Y
1.0
7.5479 0.0457 0.9417
0.8371 7.5014 0.9417
0.0508 0.0457 7.6062
Sr Li Y
1 17 1
Cartesian
5.4977 4.9484 6.1844
2.2492 0.1118 5.6168
5.5375 2.2251 1.0028
0.6686 5.2735 2.8919
2.7936 5.2735 1.0028
0.3471 2.2251 5.6168
5.3146 0.1118 2.8919
3.3295 6.5623 3.7454
2.9140 2.6229 7.2668
6.8753 2.6229 3.7454
5.0020 1.2968 5.6268
5.3755 4.8384 2.4610
1.8143 4.8384 5.6268
8.0012 3.8812 9.0006
8.3881 7.5500 5.7211
4.6989 7.5500 9.0006
7.6404 6.8770 8.5948
0.8460 0.7614 0.9516
2.8465 2.5621 3.2021
```

***

No. 6
The following is a PBE calculation of crystalline SrLi2Y at its relaxed geometry, from Alexandria via LeMat-Bulk.

energy above the lowest structure with this stoichiometry = 0.0456 eV per atom
crystal system = cubic
E_form = 166.5 meV/atom

The structure in POSCAR format:
```
SrLi2Y
1.0
2.0626 -4.2200 3.0258
-2.8367 -1.9205 4.4140
-2.4206 -5.0314 -0.2085
Y Sr Li
1 1 2
Cartesian
-1.5974 -5.5860 3.6156
0.0000 0.0000 0.0000
-0.7987 -2.7930 1.8078
-2.3960 -8.3789 5.4234
```

***

No. 7
The following is a PBE calculation of crystalline SrLi2Y at its relaxed geometry, from Alexandria via LeMat-Bulk.

energy above the lowest structure with this stoichiometry = 0.0414 eV per atom
crystal system = monoclinic
E_form = 162.3 meV/atom

The structure in POSCAR format:
```
SrLi2Y
1.0
-4.5041 0.4102 -4.4505
-4.8738 -2.8656 -2.8805
-4.8867 1.8012 2.6074
Li Sr Y
2 1 1
Cartesian
-0.3504 -0.0300 -0.1452
-10.3604 -0.4413 -3.3602
-7.2002 -0.1858 -2.0830
-3.4858 -0.3241 -1.4970
```

***

No. 8
The following is a PBE calculation of crystalline SrLi2Y at its relaxed geometry, from Alexandria via LeMat-Bulk.

energy above the lowest structure with this stoichiometry = 0.0541 eV per atom
crystal system = monoclinic
E_form = 175.0 meV/atom

The structure in POSCAR format:
```
SrLi2Y
1.0
5.3448 0.0000 0.0000
0.0000 3.7152 0.0182
0.0000 1.8112 6.3546
Li Sr Y
2 1 1
Cartesian
0.0000 2.5023 6.2011
2.6724 0.6924 1.6120
0.0000 2.5365 2.8713
2.6724 4.3696 5.2294
```

***

No. 9
The following is a PBE calculation of crystalline SrLi2Y at its relaxed geometry, from Alexandria via LeMat-Bulk.

energy above the lowest structure with this stoichiometry = 0.0260 eV per atom
crystal system = orthorhombic
E_form = 146.9 meV/atom

The structure in POSCAR format:
```
SrLi2Y
1.0
-3.9587 3.9456 -0.5766
-3.8791 -4.0034 -0.7050
-0.6230 -0.0680 3.8241
Li Sr Y
2 1 1
Cartesian
0.0000 0.0000 0.0000
-3.9189 -0.0289 -0.6408
-2.2909 1.9388 1.6238
-2.2511 -2.0357 1.5596
```

***

No. 10
The following is a PBE calculation of crystalline Sr2Li16Y at its relaxed geometry, from Alexandria via LeMat-Bulk.

crystal system = trigonal
E_form = 43.4 meV/atom

The structure in POSCAR format:
```
Sr2Li16Y
1.0
-7.1282 -1.9313 2.5622
1.6006 -7.4471 1.7564
1.3927 1.0917 7.6141
Sr Li Y
2 16 1
Cartesian
-2.6877 -5.3865 7.7565
-1.4227 -2.8512 4.1056
-4.6278 -1.0459 4.0647
1.4552 -1.4317 5.9046
-0.9761 -5.8367 2.0031
1.5408 -4.9438 3.4953
-4.5663 -3.5680 2.3345
-1.1230 0.1975 6.1426
-0.5977 -6.6474 4.9857
-5.0622 -3.8263 5.3979
-0.7040 -2.2802 7.9817
-3.4921 -1.6940 6.9036
0.8535 -4.4400 6.5025
-3.3886 -5.9450 3.9874
0.7588 -3.6299 0.8923
-3.4607 -0.9636 1.2818
0.6583 0.4977 3.7239
-0.4352 -0.8721 1.2558
-3.7340 -7.4834 10.7759
```

***

No. 11
The following is a PBE calculation of crystalline SrLiY3 at its relaxed geometry, from Alexandria via LeMat-Bulk.

energy above the lowest structure with this stoichiometry = 0.0000 eV per atom
crystal system = cubic
E_form = 395.5 meV/atom

The structure in POSCAR format:
```
SrLiY3
1.0
-1.0387 5.4378 0.8035
-2.1041 -1.1488 5.0545
5.0782 0.6363 2.2586
Y Sr Li
3 1 1
Cartesian
-1.0521 -0.5744 2.5272
2.5391 0.3181 1.1293
-0.5193 2.7189 0.4018
0.9677 2.4627 4.0583
0.0000 0.0000 0.0000
```

***

No. 12
The following is a PBE calculation of crystalline SrLi2Y at its relaxed geometry, from Alexandria via LeMat-Bulk.

energy above the lowest structure with this stoichiometry = 0.2180 eV per atom
crystal system = cubic
E_form = 338.9 meV/atom

The structure in POSCAR format:
```
SrLi2Y
1.0
-1.1061 5.0801 2.0552
-4.2006 3.0193 -2.1200
-4.6316 0.8485 3.0139
Li Sr Y
2 1 1
Cartesian
0.0000 0.0000 0.0000
-2.4845 2.2370 0.7373
-4.9691 4.4740 1.4746
-7.4536 6.7109 2.2119
```

***

No. 13
The following is a PBE calculation of crystalline SrLiY3 at its relaxed geometry, from Alexandria via LeMat-Bulk.

energy above the lowest structure with this stoichiometry = 0.7126 eV per atom
crystal system = cubic
E_form = 1108.0 meV/atom

The structure in POSCAR format:
```
SrLiY3
1.0
-3.5627 -1.3910 -4.3360
4.0584 -3.4669 -2.2224
-2.0653 -4.4130 3.1127
Y Sr Li
3 1 1
Cartesian
2.0292 -1.7335 -1.1112
-1.0327 -2.2065 1.5564
-1.7814 -0.6955 -2.1680
0.0000 0.0000 0.0000
-0.7848 -4.6355 -1.7228
```

***

No. 14
The following is a PBE calculation of crystalline Sr6LiZn2 at its relaxed geometry, from Alexandria via LeMat-Bulk.

crystal system = orthorhombic
E_form = -77.9 meV/atom

The structure in POSCAR format:
```
Sr6LiZn2
1.0
9.2648 -0.0525 -3.3822
-4.9291 8.0894 -2.7466
-0.1046 0.0525 9.8623
Sr Li Zn
12 2 4
Cartesian
1.3591 5.8437 4.2713
2.8719 2.2457 -0.5379
-0.5536 2.2982 6.9751
4.7846 5.7912 -3.2416
3.6850 6.0810 0.7136
0.5460 2.0083 3.0198
-2.0044 6.1336 6.6251
6.2354 1.9558 -2.8917
4.5225 2.8842 3.3214
-0.2915 5.2052 0.4121
-2.0148 7.9925 2.8481
6.2458 0.0969 0.8854
-2.5169 4.0709 3.5578
0.0000 0.0000 0.0000
2.6161 3.1766 6.0163
1.6149 4.9127 -2.2828
6.1817 0.0000 4.3730
2.9785 0.0000 2.1070
```

***

No. 15
The following is a PBE calculation of crystalline SrLi3Zn2 at its relaxed geometry, from Alexandria via LeMat-Bulk.

energy above the lowest structure with this stoichiometry = 0.0121 eV per atom
crystal system = monoclinic
E_form = -109.5 meV/atom

The structure in POSCAR format:
```
SrLi3Zn2
1.0
-0.7566 3.1386 3.1859
-7.2172 -3.6649 -1.3324
5.1606 -4.1263 5.2907
Sr Li Zn
2 6 4
Cartesian
-0.8266 -3.7387 6.7157
-1.9867 -0.9139 0.4285
-1.9729 -3.5509 3.0296
-4.1160 -2.9882 5.1952
1.7694 -1.5197 5.1462
-4.5827 -3.1329 1.9980
1.3027 -1.6643 1.9490
-0.8403 -1.1017 4.1146
-2.9419 -5.4516 4.6721
0.1286 0.7991 2.4721
-3.5513 -1.0765 3.4460
0.7380 -3.5760 3.6982
```

***

No. 16
The following is a PBE calculation of crystalline Sr2Li6Zn3 at its relaxed geometry, from Alexandria via LeMat-Bulk.

crystal system = hexagonal
E_form = -58.7 meV/atom

The structure in POSCAR format:
```
Sr2Li6Zn3
1.0
-3.8793 -0.4852 -2.3410
4.2866 -1.8767 -6.7144
-2.3591 -5.9191 5.1361
Sr Li Zn
2 6 3
Cartesian
2.0714 -3.2241 -2.7643
-0.1439 -4.5716 1.1859
-0.4982 -6.0725 -2.3509
-2.5346 -1.7352 0.1246
0.3891 -1.5736 -0.3186
3.4214 -1.4979 -5.3592
-0.8587 -0.7158 -2.8637
-1.8830 -4.7244 4.0994
-1.1859 -3.2911 -1.7877
0.6707 -1.3854 -5.2593
-3.3763 -3.8471 1.9571
```

***

No. 17
The following is a PBE calculation of crystalline SrLi2Zn2 at its relaxed geometry, from Alexandria via LeMat-Bulk.

energy above the lowest structure with this stoichiometry = 0.0000 eV per atom
crystal system = orthorhombic
E_form = -141.0 meV/atom

The structure in POSCAR format:
```
SrLi2Zn2
1.0
4.5060 0.0000 0.0000
0.0000 4.2193 0.0000
-2.2530 -2.1096 12.2801
Sr Li Zn
2 4 4
Cartesian
2.2530 1.0548 8.1431
0.0000 1.0548 4.1370
2.2530 1.0548 1.0275
2.2530 -1.0548 11.1556
0.0000 1.0548 11.2525
0.0000 3.1645 1.1245
2.2530 3.1645 5.4690
0.0000 -1.0548 6.8111
0.0000 -1.0548 9.5055
2.2530 3.1645 2.7746
```

***

No. 18
The following is a PBE calculation of crystalline SrLi14Zn at its relaxed geometry, from Alexandria via LeMat-Bulk.

crystal system = orthorhombic
E_form = 29.9 meV/atom

The structure in POSCAR format:
```
SrLi14Zn
1.0
-5.0175 0.6704 -4.0123
2.2285 -5.7460 1.9341
-6.2654 0.2196 7.8718
Sr Li Zn
1 14 1
Cartesian
-0.9157 -5.6260 5.8605
0.5658 -4.2737 0.5695
-2.8928 -1.2111 -2.2686
-2.1136 -2.7305 4.8263
-0.5207 -1.4615 -0.3737
-3.4700 -5.1990 3.8156
-1.8884 -3.9506 -1.3929
-6.4262 -0.3032 4.6275
-3.2104 -0.4159 0.5872
-7.7648 -2.7393 3.6301
-4.5490 -2.8520 -0.4102
-5.1439 -3.0885 5.3375
-2.3064 -3.1880 1.7725
-8.9688 -0.0259 2.9909
-5.3685 -0.1521 -1.5326
-4.9312 -2.0703 2.5652
```

***

No. 19
The following is a PBE calculation of crystalline Sr8Li2Zn at its relaxed geometry, from Alexandria via LeMat-Bulk.

energy above the lowest structure with this stoichiometry = 0.0146 eV per atom
crystal system = monoclinic
E_form = 24.2 meV/atom

The structure in POSCAR format:
```
Sr8Li2Zn
1.0
6.9489 -0.4862 -1.5343
-3.0830 8.3664 -4.9925
-0.4496 -1.5800 10.0860
Sr Li Zn
8 2 1
Cartesian
3.2645 2.6606 -1.4114
3.8833 0.3235 2.1315
0.0250 1.8407 1.2098
5.8783 -0.1552 5.7048
4.2497 5.9962 -3.6206
2.8331 4.4589 2.4464
-0.9073 6.0558 1.5889
-0.2962 3.7476 5.0880
0.9731 5.2760 -1.2775
2.0665 1.1463 4.9830
1.9384 -0.1053 -0.4080
```

***

No. 20
The following is a PBE calculation of crystalline Sr2Li2Zn15 at its relaxed geometry, from Alexandria via LeMat-Bulk.

crystal system = trigonal
E_form = -199.1 meV/atom

The structure in POSCAR format:
```
Sr2Li2Zn15
1.0
6.9582 -0.0523 -0.0466
0.8509 6.9062 -0.0466
0.8509 0.7468 6.8659
Sr Li Zn
2 2 15
Cartesian
2.9588 2.5969 2.3140
5.7012 5.0038 4.4587
0.8510 0.7469 0.6655
7.8090 6.8538 6.1072
3.4791 -0.0261 -0.0233
0.4254 0.3734 3.4329
0.4254 3.4531 -0.0233
0.8509 5.1256 1.9517
5.1927 1.9593 -0.0466
2.6164 0.5158 4.8676
2.6164 4.8946 -0.0466
5.1927 0.1787 1.9517
0.8509 2.5274 4.8676
2.1952 5.0032 4.4582
5.2457 4.6041 1.0054
5.2457 1.5275 4.4582
6.4648 2.5975 2.3145
3.4142 2.9966 5.7672
3.4142 6.0732 2.3145
```

***

No. 21
The following is a PBE calculation of crystalline SrLiZn2 at its relaxed geometry, from Alexandria via LeMat-Bulk.

energy above the lowest structure with this stoichiometry = 0.1213 eV per atom
crystal system = cubic
E_form = -59.3 meV/atom

The structure in POSCAR format:
```
SrLiZn2
1.0
0.0000 3.6421 3.6421
3.6421 0.0000 3.6421
3.6421 3.6421 0.0000
Sr Zn Li
1 2 1
Cartesian
3.6421 3.6421 3.6421
1.8210 1.8210 1.8210
5.4631 5.4631 5.4631
0.0000 0.0000 0.0000
```

***

No. 22
The following is a PBE calculation of crystalline Sr5LiZn2 at its relaxed geometry, from Alexandria via LeMat-Bulk.

crystal system = tetragonal
E_form = -101.3 meV/atom

The structure in POSCAR format:
```
Sr5LiZn2
1.0
-8.1951 -2.9726 -0.8239
2.5551 -7.8519 2.9143
1.2306 7.6996 6.5111
Sr Li Zn
10 2 4
Cartesian
-1.6495 -1.4694 6.2804
-3.7692 -7.8895 3.9960
0.0000 0.0000 0.0000
-2.8200 -5.4122 1.0452
-0.6402 4.7647 4.6056
-4.3074 1.9559 4.6845
2.0176 1.3394 6.2015
-0.1020 -5.0807 3.9170
-6.4270 -4.4642 2.4000
-2.7598 -1.6555 2.3211
-3.6147 -4.2685 4.8234
-0.7947 1.1437 3.7782
0.0194 -3.3549 1.0197
-4.7576 -2.7531 -0.1673
-0.8824 -8.0713 2.2577
-5.6594 -7.4696 1.0707
```

***

No. 23
The following is a PBE calculation of crystalline SrLiZn3 at its relaxed geometry, from Alexandria via LeMat-Bulk.

energy above the lowest structure with this stoichiometry = 0.1544 eV per atom
crystal system = cubic
E_form = -13.2 meV/atom

The structure in POSCAR format:
```
SrLiZn3
1.0
4.7939 0.0000 0.0000
0.0000 4.7939 0.0000
0.0000 0.0000 4.7939
Sr Zn Li
1 3 1
Cartesian
2.3969 2.3969 2.3969
0.0000 2.3969 0.0000
0.0000 0.0000 2.3969
2.3969 0.0000 0.0000
0.0000 0.0000 0.0000
```